No. 1
# MgFe2Ni, optimized geometry, DFT PBE
data_MgFe2Ni
_chemical_formula_sum 'Mg1 Fe2 Ni1'
_cell_length_a 3.9701
_cell_length_b 2.5797
_cell_length_c 5.1450
_cell_angle_alpha 76.97
_cell_angle_beta 90.00
_cell_angle_gamma 90.00
_space_group_name_H-M_alt 'P 1'
_space_group_IT_number 1
loop_
_space_group_symop_operation_xyz
'x,y,z'
loop_
_atom_site_label
_atom_site_fract_x
_atom_site_fract_y
_atom_site_fract_z
Fe1 0.0000 0.0004 0.0035
Fe2 0.5000 0.2082 0.2284
Mg1 0.0000 0.5002 0.5053
Ni1 0.5000 0.7912 0.7628
# **Crystal system**: monoclinic
# **Energy relative to the elements**: 118 meV per atom

***

No. 2
# Nd6Co2AuBr3, optimized geometry, DFT PBE
data_Nd6Co2AuBr3
_chemical_formula_sum 'Nd6 Co2 Au1 Br3'
_cell_length_a 4.0983
_cell_length_b 9.1535
_cell_length_c 9.9735
_cell_angle_alpha 109.97
_cell_angle_beta 101.86
_cell_angle_gamma 90.00
_space_group_name_H-M_alt 'P 1'
_space_group_IT_number 1
loop_
_space_group_symop_operation_xyz
'x,y,z'
loop_
_atom_site_label
_atom_site_fract_x
_atom_site_fract_y
_atom_site_fract_z
Nd1 0.3366 0.8685 0.6732
Nd2 0.6830 0.5588 0.3660
Nd3 0.6634 0.1315 0.3268
Nd4 0.0247 0.2492 0.0493
Nd5 0.9753 0.7508 0.9507
Nd6 0.3170 0.4412 0.6340
Co1 0.8312 0.6603 0.6625
Co2 0.1688 0.3397 0.3375
Au1 0.5000 0.0000 0.0000
Br1 0.5000 0.5000 0.0000
Br2 0.8344 0.1641 0.6687
Br3 0.1656 0.8359 0.3313
# **Crystal system**: monoclinic
# **Uncorrected formation energy**: -0.8083 eV per atom

***

No. 3
# LaCrIr2, optimized geometry, DFT PBE
data_LaCrIr2
_chemical_formula_sum 'La1 Cr1 Ir2'
_cell_length_a 3.0096
_cell_length_b 3.0379
_cell_length_c 8.2318
_cell_angle_alpha 68.31
_cell_angle_beta 90.00
_cell_angle_gamma 90.00
_space_group_name_H-M_alt 'P 1'
_space_group_IT_number 1
loop_
_space_group_symop_operation_xyz
'x,y,z'
loop_
_atom_site_label
_atom_site_fract_x
_atom_site_fract_y
_atom_site_fract_z
Cr1 0.5000 0.7500 0.7500
Ir1 0.0000 0.0577 0.9421
Ir2 0.0000 0.4423 0.5579
La1 0.5000 0.2500 0.2500
# **Crystal system**: orthorhombic
# **Relative energy among the computed polymorphs**: 50 meV per atom
# **Energy relative to the elements**: -175 meV per atom